MnPd2F8 | Alexandria | PBE with a Hubbard U | relaxed; E_tot = -50.2 eV per formula unit; symmetry = No. 15
1.0
5.1901 -4.3976 0.0000
5.1901 4.3976 0.0000
-2.6056 0.0000 7.1170
Mn Pd F
2 4 16
Direct
0.1735 0.8265 0.7500 Mn
0.8265 0.1735 0.2500 Mn
0.3599 0.3700 0.4230 Pd
0.3700 0.3599 0.9230 Pd
0.6300 0.6401 0.0770 Pd
0.6401 0.6300 0.5770 Pd
0.1168 0.1563 0.3110 F
0.1498 0.5638 0.8387 F
0.1563 0.1168 0.8110 F
0.1601 0.5985 0.5008 F
0.2821 0.4409 0.1691 F
0.4015 0.8399 0.9992 F
0.4362 0.8502 0.6613 F
0.4409 0.2821 0.6691 F
0.5591 0.7179 0.3309 F
0.5638 0.1498 0.3387 F
0.5985 0.1601 0.0008 F
0.7179 0.5591 0.8309 F
0.8399 0.4015 0.4992 F
0.8437 0.8832 0.1890 F
0.8502 0.4362 0.1613 F
0.8832 0.8437 0.6890 F